# 1
This record from the Alexandria database describes a relaxed Ca11In9Ga4 crystal. The functional is GGA-PBE.

Summary:
N(E_F): 9.93 states/eV/cell
formation enthalpy at 0 K: -0.45 eV per atom

```
24
Lattice="7.539 -11.307 0.000 7.539 11.307 0.000 0.000 0.000 3.801" Properties=species:S:1:pos:R:3 pbc="T T T"
Ca 0.000 0.000 0.000
Ca 3.529 3.951 0.000
Ca 7.539 7.615 0.000
Ca 4.606 0.000 0.000
Ca 7.539 2.859 0.000
Ca 3.529 -3.951 0.000
Ca 11.549 3.951 0.000
Ca 7.539 -2.859 0.000
Ca 10.473 0.000 0.000
Ca 7.539 -7.615 0.000
Ca 11.549 -3.951 0.000
In 2.196 1.609 1.901
In 5.982 5.254 1.901
In 2.196 -1.609 1.901
In 9.097 5.254 1.901
In 7.539 0.000 1.901
In 5.982 -5.254 1.901
In 12.882 1.609 1.901
In 9.097 -5.254 1.901
In 12.882 -1.609 1.901
Ga 5.230 2.309 1.901
Ga 5.230 -2.309 1.901
Ga 9.849 2.309 1.901
Ga 9.849 -2.309 1.901
```

# 2
This record from the Alexandria database describes a relaxed BaTe3Pd crystal. The functional is GGA-PBE.

Summary:
DFT total energy: -2.58 eV per atom
N(E_F): 7.72 states/eV/cell

```
5
Lattice="6.599 0.000 0.000 0.000 6.599 0.000 0.000 0.000 6.599" Properties=species:S:1:pos:R:3 pbc="T T T"
Ba 0.000 0.000 0.000
Te 0.000 0.000 3.300
Te 0.000 3.300 0.000
Te 3.300 0.000 0.000
Pd 3.300 3.300 3.300
```

# 3
This record from the Alexandria database describes a relaxed AgHgMo2 crystal. The functional is GGA-PBE.

Summary:
N(E_F): 1.73 states/eV/cell
formation enthalpy at 0 K: 0.53 eV per atom

```
4
Lattice="3.871 0.000 0.000 0.000 3.871 0.000 0.000 0.000 4.593" Properties=species:S:1:pos:R:3 pbc="T T T"
Ag 0.000 0.000 0.000
Hg 1.935 1.935 0.000
Mo 0.000 1.935 2.296
Mo 1.935 0.000 2.296
```